A geometry-optimized Rb2NaTeF structure. Source: the Alexandria database, functional PBE.

Values from the calculation:
The density of states at the Fermi level is 1.06 states/eV per cell. The crystal system is tetragonal. The energy relative to the elements, uncorrected comes out at -1231 meV/atom. For the distance to the lowest polymorph of the same formula, the calculation gives 359 meV per atom. The value obtained for the magnetic moment is 0.0 Bohr magnetons per cell.

Cell and atoms, written as CIF:
```
data_Rb2NaTeF
_chemical_formula_sum 'Rb2 Na1 Te1 F1'
_space_group_name_H-M_alt 'P 4/m m m'
_space_group_IT_number 123
_space_group_name_Hall '-P 4 2'
_cell_length_a 6.509
_cell_length_b 6.509
_cell_length_c 4.177
_cell_angle_alpha 90.00
_cell_angle_beta 90.00
_cell_angle_gamma 90.00
loop_
_atom_site_label
_atom_site_fract_x
_atom_site_fract_y
_atom_site_fract_z
Rb1 0.000 0.500 0.000
Na1 0.000 0.000 0.000
Te1 0.500 0.500 0.500
F1 0.000 0.000 0.500
```